(1)
Density functional theory data (PBE) for crystalline CeNdGdSc at its relaxed geometry.

Geometry as POSCAR:
```
CeNdGdSc
1.0
0.000 3.958 3.958
3.958 0.000 3.958
3.958 3.958 0.000
Ce Nd Gd Sc
1 1 1 1
direct
0.000 0.000 0.000 Ce
0.250 0.250 0.250 Nd
0.750 0.750 0.750 Gd
0.500 0.500 0.500 Sc
```

Results
Energy of formation from the pure elements   0.17 eV per atom
E   -30.42 eV for the cell shown


(2)
Density functional theory data (PBE) for crystalline CeNdGdSn at its relaxed geometry.

Geometry as POSCAR:
```
CeNdGdSn
1.0
0.000 3.859 3.859
3.859 0.000 3.859
3.859 3.859 0.000
Ce Nd Gd Sn
1 1 1 1
direct
0.000 0.000 0.000 Ce
0.250 0.250 0.250 Nd
0.750 0.750 0.750 Gd
0.500 0.500 0.500 Sn
```

Results
Energy of formation from the pure elements   -0.21 eV per atom
E   -29.64 eV for the cell shown


Q: The lowest energy of formation from the pure elements belongs to which entry?
A: CeNdGdSn


Q: What is the energy of formation from the pure elements in the first record?
A: 0.17 eV per atom


Q: Among the records above, which one has the lowest energy of formation from the pure elements?
A: CeNdGdSn


Q: What is the formula in the first record?
A: CeNdGdSc